Entry 1:
# NbTlGePt2 PBE relaxed
data_NbTlGePt2
_symmetry_space_group_name_H-M 'P 4/m m m'
_symmetry_Int_Tables_number 123
_symmetry_space_group_name_Hall '-P 4 2'
_cell_length_a 4.989
_cell_length_b 4.989
_cell_length_c 5.192
_cell_angle_alpha 90.00
_cell_angle_beta 90.00
_cell_angle_gamma 90.00
loop_
_atom_site_label
_atom_site_type_symbol
_atom_site_fract_x
_atom_site_fract_y
_atom_site_fract_z
_atom_site_occupancy
Nb1 Nb 0.000 0.000 0.000 1
Tl1 Tl 0.000 0.000 0.500 1
Ge1 Ge 0.500 0.500 0.000 1
Pt1 Pt 0.000 0.500 0.500 1
# DOS(E_F) (states/eV per atom): 1.069
# ΔH_f (0 K) (meV per atom): 1550



Entry 2:
# Y2NbGe4Pt3 PBE relaxed
data_Y2NbGe4Pt3
_symmetry_space_group_name_H-M 'P -4 m 2'
_symmetry_Int_Tables_number 115
_symmetry_space_group_name_Hall 'P -4 -2'
_cell_length_a 4.197
_cell_length_b 4.197
_cell_length_c 10.937
_cell_angle_alpha 90.00
_cell_angle_beta 90.00
_cell_angle_gamma 90.00
loop_
_atom_site_label
_atom_site_type_symbol
_atom_site_fract_x
_atom_site_fract_y
_atom_site_fract_z
_atom_site_occupancy
Y1 Y 0.000 0.500 0.244 1
Nb1 Nb 0.000 0.000 0.500 1
Ge1 Ge 0.000 0.000 0.000 1
Ge2 Ge 0.000 0.500 0.643 1
Ge3 Ge 0.500 0.500 0.000 1
Pt1 Pt 0.000 0.500 0.868 1
Pt2 Pt 0.500 0.500 0.500 1
# DOS(E_F) (states/eV per atom): 0.535
# ΔH_f (0 K) (meV per atom): -799



Entry 3:
# NbZnGe2Pt PBE relaxed
data_NbZnGe2Pt
_symmetry_space_group_name_H-M 'P 4/m m m'
_symmetry_Int_Tables_number 123
_symmetry_space_group_name_Hall '-P 4 2'
_cell_length_a 4.652
_cell_length_b 4.652
_cell_length_c 4.573
_cell_angle_alpha 90.00
_cell_angle_beta 90.00
_cell_angle_gamma 90.00
loop_
_atom_site_label
_atom_site_type_symbol
_atom_site_fract_x
_atom_site_fract_y
_atom_site_fract_z
_atom_site_occupancy
Nb1 Nb 0.000 0.000 0.000 1
Zn1 Zn 0.500 0.500 0.500 1
Ge1 Ge 0.000 0.500 0.500 1
Pt1 Pt 0.500 0.500 0.000 1
# DOS(E_F) (states/eV per atom): 1.088
# ΔH_f (0 K) (meV per atom): 841



Entry 4:
# PuNbGe PBE relaxed
data_PuNbGe
_symmetry_space_group_name_H-M 'P n m a'
_symmetry_Int_Tables_number 62
_symmetry_space_group_name_Hall '-P 2ac 2n'
_cell_length_a 6.060
_cell_length_b 3.483
_cell_length_c 10.404
_cell_angle_alpha 90.00
_cell_angle_beta 90.00
_cell_angle_gamma 90.00
loop_
_atom_site_label
_atom_site_type_symbol
_atom_site_fract_x
_atom_site_fract_y
_atom_site_fract_z
_atom_site_occupancy
Pu1 Pu 0.095 0.250 0.051 1
Nb1 Nb 0.048 0.250 0.391 1
Ge1 Ge 0.176 0.250 0.766 1
# DOS(E_F) (states/eV per atom): 1.380
# ΔH_f (0 K) (meV per atom): -116



Entry 5:
# PuNb2Ge PBE relaxed
data_PuNb2Ge
_symmetry_space_group_name_H-M 'R -3 m'
_symmetry_Int_Tables_number 166
_symmetry_space_group_name_Hall '-R 3 2"'
_cell_length_a 2.9466
_cell_length_b 2.9466
_cell_length_c 31.0721
_cell_angle_alpha 90.00
_cell_angle_beta 90.00
_cell_angle_gamma 120.00
loop_
_atom_site_label
_atom_site_type_symbol
_atom_site_fract_x
_atom_site_fract_y
_atom_site_fract_z
_atom_site_occupancy
Pu1 Pu 0.0000 0.0000 0.0000 1
Nb1 Nb 0.0000 0.0000 0.0942 1
Ge1 Ge 0.0000 0.0000 0.5000 1
# DOS(E_F) (states/eV per atom): 1.816
# ΔH_f (0 K) (meV per atom): 313



Entry 6:
# Pu2Nb3Ge4 PBE relaxed
data_Pu2Nb3Ge4
_symmetry_space_group_name_H-M 'P 1 21/c 1'
_symmetry_Int_Tables_number 14
_symmetry_space_group_name_Hall '-P 2ybc'
_cell_length_a 7.193
_cell_length_b 7.189
_cell_length_c 7.098
_cell_angle_alpha 90.00
_cell_angle_beta 109.89
_cell_angle_gamma 90.00
loop_
_atom_site_label
_atom_site_type_symbol
_atom_site_fract_x
_atom_site_fract_y
_atom_site_fract_z
_atom_site_occupancy
Pu1 Pu 0.180 0.162 0.057 1
Nb1 Nb 0.255 0.674 0.248 1
Nb2 Nb 0.500 0.000 0.500 1
Ge1 Ge 0.087 0.540 0.864 1
Ge2 Ge 0.489 0.134 0.864 1
# DOS(E_F) (states/eV per atom): 2.010
# ΔH_f (0 K) (meV per atom): -534



Entry 7:
# PuNbGe PBE relaxed
data_PuNbGe
_symmetry_space_group_name_H-M 'P -6 m 2'
_symmetry_Int_Tables_number 187
_symmetry_space_group_name_Hall 'P -6 2'
_cell_length_a 4.5397
_cell_length_b 4.5397
_cell_length_c 3.5850
_cell_angle_alpha 90.00
_cell_angle_beta 90.00
_cell_angle_gamma 120.00
loop_
_atom_site_label
_atom_site_type_symbol
_atom_site_fract_x
_atom_site_fract_y
_atom_site_fract_z
_atom_site_occupancy
Pu1 Pu 0.0000 0.0000 0.0000 1
Nb1 Nb 0.6667 0.3333 0.5000 1
Ge1 Ge 0.3333 0.6667 0.5000 1
# DOS(E_F) (states/eV per atom): 2.148
# ΔH_f (0 K) (meV per atom): -18



Entry 8:
# Pu6NbGe5 PBE relaxed
data_Pu6NbGe5
_symmetry_space_group_name_H-M 'I m m m'
_symmetry_Int_Tables_number 71
_symmetry_space_group_name_Hall '-I 2 2'
_cell_length_a 4.463
_cell_length_b 8.415
_cell_length_c 13.626
_cell_angle_alpha 90.00
_cell_angle_beta 90.00
_cell_angle_gamma 90.00
loop_
_atom_site_label
_atom_site_type_symbol
_atom_site_fract_x
_atom_site_fract_y
_atom_site_fract_z
_atom_site_occupancy
Pu1 Pu 0.000 0.243 0.000 1
Pu2 Pu 0.000 0.251 0.330 1
Nb1 Nb 0.000 0.000 0.500 1
Ge1 Ge 0.000 0.000 0.169 1
Ge2 Ge 0.000 0.500 0.149 1
Ge3 Ge 0.000 0.500 0.500 1
# DOS(E_F) (states/eV per atom): 3.135
# ΔH_f (0 K) (meV per atom): -290



Entry 9:
# Pu5NbGe4 PBE relaxed
data_Pu5NbGe4
_symmetry_space_group_name_H-M 'C 1 2/m 1'
_symmetry_Int_Tables_number 12
_symmetry_space_group_name_Hall '-C 2y'
_cell_length_a 15.548
_cell_length_b 3.793
_cell_length_c 7.356
_cell_angle_alpha 90.00
_cell_angle_beta 98.37
_cell_angle_gamma 90.00
loop_
_atom_site_label
_atom_site_type_symbol
_atom_site_fract_x
_atom_site_fract_y
_atom_site_fract_z
_atom_site_occupancy
Pu1 Pu 0.000 0.000 0.000 1
Pu2 Pu 0.141 0.500 0.719 1
Pu3 Pu 0.191 0.500 0.053 1
Nb1 Nb 0.000 0.000 0.500 1
Ge1 Ge 0.056 0.500 0.292 1
Ge2 Ge 0.175 0.000 0.397 1
# DOS(E_F) (states/eV per atom): 2.888
# ΔH_f (0 K) (meV per atom): -109



Entry 10:
# Pu2NbGe PBE relaxed
data_Pu2NbGe
_symmetry_space_group_name_H-M 'P 4/m m m'
_symmetry_Int_Tables_number 123
_symmetry_space_group_name_Hall '-P 4 2'
_cell_length_a 3.858
_cell_length_b 3.858
_cell_length_c 5.721
_cell_angle_alpha 90.00
_cell_angle_beta 90.00
_cell_angle_gamma 90.00
loop_
_atom_site_label
_atom_site_type_symbol
_atom_site_fract_x
_atom_site_fract_y
_atom_site_fract_z
_atom_site_occupancy
Pu1 Pu 0.000 0.000 0.238 1
Nb1 Nb 0.500 0.500 0.500 1
Ge1 Ge 0.500 0.500 0.000 1
# DOS(E_F) (states/eV per atom): 3.001
# Relative energy among the computed polymorphs (meV per atom): 0
# ΔH_f (0 K) (meV per atom): -80



Entry 11:
# PuNbGe2Rh PBE relaxed
data_PuNbGe2Rh
_symmetry_space_group_name_H-M 'I -4 m 2'
_symmetry_Int_Tables_number 119
_symmetry_space_group_name_Hall 'I -4 -2'
_cell_length_a 4.102
_cell_length_b 4.102
_cell_length_c 11.331
_cell_angle_alpha 90.00
_cell_angle_beta 90.00
_cell_angle_gamma 90.00
loop_
_atom_site_label
_atom_site_type_symbol
_atom_site_fract_x
_atom_site_fract_y
_atom_site_fract_z
_atom_site_occupancy
Pu1 Pu 0.000 0.000 0.000 1
Nb1 Nb 0.000 0.500 0.750 1
Ge1 Ge 0.000 0.000 0.389 1
Rh1 Rh 0.000 0.500 0.250 1
# DOS(E_F) (states/eV per atom): 2.520
# ΔH_f (0 K) (meV per atom): -491



Entry 12:
# Pu2NbGe2Ru5 PBE relaxed
data_Pu2NbGe2Ru5
_symmetry_space_group_name_H-M 'P 4/m b m'
_symmetry_Int_Tables_number 127
_symmetry_space_group_name_Hall '-P 4 2ab'
_cell_length_a 10.246
_cell_length_b 10.246
_cell_length_c 3.284
_cell_angle_alpha 90.00
_cell_angle_beta 90.00
_cell_angle_gamma 90.00
loop_
_atom_site_label
_atom_site_type_symbol
_atom_site_fract_x
_atom_site_fract_y
_atom_site_fract_z
_atom_site_occupancy
Pu1 Pu 0.172 0.328 0.000 1
Nb1 Nb 0.000 0.000 0.000 1
Ge1 Ge 0.128 0.628 0.000 1
Ru1 Ru 0.000 0.500 0.500 1
Ru2 Ru 0.062 0.798 0.500 1
# DOS(E_F) (states/eV per atom): 2.321
# ΔH_f (0 K) (meV per atom): -236



Entry 13:
# PuNbTcGe2 PBE relaxed
data_PuNbTcGe2
_symmetry_space_group_name_H-M 'I -4 m 2'
_symmetry_Int_Tables_number 119
_symmetry_space_group_name_Hall 'I -4 -2'
_cell_length_a 4.000
_cell_length_b 4.000
_cell_length_c 11.829
_cell_angle_alpha 90.00
_cell_angle_beta 90.00
_cell_angle_gamma 90.00
loop_
_atom_site_label
_atom_site_type_symbol
_atom_site_fract_x
_atom_site_fract_y
_atom_site_fract_z
_atom_site_occupancy
Pu1 Pu 0.000 0.000 0.000 1
Nb1 Nb 0.000 0.500 0.750 1
Tc1 Tc 0.000 0.500 0.250 1
Ge1 Ge 0.000 0.000 0.393 1
# DOS(E_F) (states/eV per atom): 2.256
# ΔH_f (0 K) (meV per atom): -368



Entry 14:
# RbNbGe2 PBE relaxed
data_RbNbGe2
_symmetry_space_group_name_H-M 'F m -3 m'
_symmetry_Int_Tables_number 225
_symmetry_space_group_name_Hall '-F 4 2 3'
_cell_length_a 7.105
_cell_length_b 7.105
_cell_length_c 7.105
_cell_angle_alpha 90.00
_cell_angle_beta 90.00
_cell_angle_gamma 90.00
loop_
_atom_site_label
_atom_site_type_symbol
_atom_site_fract_x
_atom_site_fract_y
_atom_site_fract_z
_atom_site_occupancy
Rb1 Rb 0.000 0.000 0.000 1
Nb1 Nb 0.000 0.000 0.500 1
Ge1 Ge 0.250 0.250 0.250 1
# DOS(E_F) (states/eV per atom): 1.141
# Relative energy among the computed polymorphs (meV per atom): 489
# ΔH_f (0 K) (meV per atom): 814



Entry 15:
# Rb3NbGe PBE relaxed
data_Rb3NbGe
_symmetry_space_group_name_H-M 'P m -3 m'
_symmetry_Int_Tables_number 221
_symmetry_space_group_name_Hall '-P 4 2 3'
_cell_length_a 6.768
_cell_length_b 6.768
_cell_length_c 6.768
_cell_angle_alpha 90.00
_cell_angle_beta 90.00
_cell_angle_gamma 90.00
loop_
_atom_site_label
_atom_site_type_symbol
_atom_site_fract_x
_atom_site_fract_y
_atom_site_fract_z
_atom_site_occupancy
Rb1 Rb 0.000 0.000 0.500 1
Nb1 Nb 0.500 0.500 0.500 1
Ge1 Ge 0.000 0.000 0.000 1
# DOS(E_F) (states/eV per atom): 3.509
# Relative energy among the computed polymorphs (meV per atom): 0
# ΔH_f (0 K) (meV per atom): 1287



Entry 16:
# RbNbGe2 PBE relaxed
data_RbNbGe2
_symmetry_space_group_name_H-M 'I 41/a m d'
_symmetry_Int_Tables_number 141
_cell_length_a 6.255
_cell_length_b 6.255
_cell_length_c 15.639
_cell_angle_alpha 90.00
_cell_angle_beta 90.00
_cell_angle_gamma 90.00
loop_
_symmetry_equiv_pos_as_xyz
'x,y,z'
'-x,-y,-z'
'-y+1/4,x+3/4,z+1/4'
'y+1/4,-x+3/4,-z+1/4'
'-x+1/2,-y,z+1/2'
'x+1/2,y,-z+1/2'
'y+1/4,-x+1/4,z+3/4'
'-y+1/4,x+1/4,-z+3/4'
'x,-y,-z'
'-x,y,z'
'-y+1/4,-x+1/4,-z+3/4'
'y+1/4,x+1/4,z+3/4'
'-x+1/2,y,-z+1/2'
'x+1/2,-y,z+1/2'
'y+1/4,x+3/4,-z+1/4'
'-y+1/4,-x+3/4,z+1/4'
'x+1/2,y+1/2,z+1/2'
'-x+1/2,-y+1/2,-z+1/2'
'-y+3/4,x+1/4,z+3/4'
'y+3/4,-x+1/4,-z+3/4'
'-x,-y+1/2,z'
'x,y+1/2,-z'
'y+3/4,-x+3/4,z+1/4'
'-y+3/4,x+3/4,-z+1/4'
'x+1/2,-y+1/2,-z+1/2'
'-x+1/2,y+1/2,z+1/2'
'-y+3/4,-x+3/4,-z+1/4'
'y+3/4,x+3/4,z+1/4'
'-x,y+1/2,-z'
'x,-y+1/2,z'
'y+3/4,x+1/4,-z+3/4'
'-y+3/4,-x+1/4,z+3/4'
loop_
_atom_site_label
_atom_site_type_symbol
_atom_site_fract_x
_atom_site_fract_y
_atom_site_fract_z
_atom_site_occupancy
Rb1 Rb 0.000 0.250 0.375 1
Nb1 Nb 0.000 0.250 0.875 1
Ge1 Ge 0.000 0.000 0.000 1
# DOS(E_F) (states/eV per atom): 0.754
# Relative energy among the computed polymorphs (meV per atom): 0
# ΔH_f (0 K) (meV per atom): 325



Entry 17:
# RbNbTcGe2 PBE relaxed
data_RbNbTcGe2
_symmetry_space_group_name_H-M 'P 4/m m m'
_symmetry_Int_Tables_number 123
_symmetry_space_group_name_Hall '-P 4 2'
_cell_length_a 4.938
_cell_length_b 4.938
_cell_length_c 5.084
_cell_angle_alpha 90.00
_cell_angle_beta 90.00
_cell_angle_gamma 90.00
loop_
_atom_site_label
_atom_site_type_symbol
_atom_site_fract_x
_atom_site_fract_y
_atom_site_fract_z
_atom_site_occupancy
Rb1 Rb 0.000 0.000 0.000 1
Nb1 Nb 0.500 0.500 0.000 1
Tc1 Tc 0.500 0.500 0.500 1
Ge1 Ge 0.000 0.500 0.500 1
# DOS(E_F) (states/eV per atom): 0.696
# ΔH_f (0 K) (meV per atom): 578



Entry 18:
# Nb2ReGe PBE relaxed
data_Nb2ReGe
_symmetry_space_group_name_H-M 'I -4 2 d'
_symmetry_Int_Tables_number 122
_symmetry_space_group_name_Hall 'I -4 2bw'
_cell_length_a 7.122
_cell_length_b 7.122
_cell_length_c 5.739
_cell_angle_alpha 90.00
_cell_angle_beta 90.00
_cell_angle_gamma 90.00
loop_
_atom_site_label
_atom_site_type_symbol
_atom_site_fract_x
_atom_site_fract_y
_atom_site_fract_z
_atom_site_occupancy
Nb1 Nb 0.243 0.750 0.125 1
Re1 Re 0.000 0.000 0.000 1
Ge1 Ge 0.000 0.000 0.500 1
# DOS(E_F) (states/eV per atom): 0.944
# ΔH_f (0 K) (meV per atom): 482



Entry 19:
# NbReGe PBE relaxed
data_NbReGe
_symmetry_space_group_name_H-M 'I 4 m m'
_symmetry_Int_Tables_number 107
_symmetry_space_group_name_Hall 'I 4 -2'
_cell_length_a 3.203
_cell_length_b 3.203
_cell_length_c 9.330
_cell_angle_alpha 90.00
_cell_angle_beta 90.00
_cell_angle_gamma 90.00
loop_
_atom_site_label
_atom_site_type_symbol
_atom_site_fract_x
_atom_site_fract_y
_atom_site_fract_z
_atom_site_occupancy
Nb1 Nb 0.000 0.000 0.000 1
Re1 Re 0.000 0.000 0.670 1
Ge1 Ge 0.000 0.000 0.318 1
# DOS(E_F) (states/eV per atom): 0.645
# Relative energy among the computed polymorphs (meV per atom): 193
# ΔH_f (0 K) (meV per atom): -42



Entry 20:
# Nb2ReGe4 PBE relaxed
data_Nb2ReGe4
_symmetry_space_group_name_H-M 'C 1 2/m 1'
_symmetry_Int_Tables_number 12
_symmetry_space_group_name_Hall '-C 2y'
_cell_length_a 14.984
_cell_length_b 3.120
_cell_length_c 5.686
_cell_angle_alpha 90.00
_cell_angle_beta 110.71
_cell_angle_gamma 90.00
loop_
_atom_site_label
_atom_site_type_symbol
_atom_site_fract_x
_atom_site_fract_y
_atom_site_fract_z
_atom_site_occupancy
Nb1 Nb 0.240 0.000 0.242 1
Re1 Re 0.000 0.000 0.000 1
Ge1 Ge 0.103 0.500 0.334 1
Ge2 Ge 0.114 0.000 0.771 1
# DOS(E_F) (states/eV per atom): 0.649
# Relative energy among the computed polymorphs (meV per atom): 0
# ΔH_f (0 K) (meV per atom): 0